PBE PmCuSe2O8, relaxed; raw total energy = -69.3 eV/cell; theoretical density = 4.60 g/cm3; space-group type = P-3m1
1.0
5.5091 0.0000 0.0000
-2.7546 4.7710 0.0000
0.0000 0.0000 6.7931
Pm Cu Se O
1 1 2 8
Direct
0.0000 0.0000 0.5000
0.0000 0.0000 0.0000
0.3333 0.6667 0.7097
0.6667 0.3333 0.2903
0.1630 0.3261 0.7832
0.1630 0.8370 0.7832
0.6739 0.8370 0.7832
0.3261 0.1630 0.2168
0.6667 0.3333 0.5377
0.3333 0.6667 0.4622
0.8370 0.6739 0.2168
0.8370 0.1630 0.2168

=====

PBE ErPu3Pd12, relaxed; raw total energy = -120.3 eV/cell; theoretical density = 12.78 g/cm3; space-group type = P4/mmm
1.0
4.1375 0.0000 0.0000
0.0000 4.1375 0.0000
0.0000 0.0000 16.5133
Er Pu Pd
1 3 12
Direct
0.0000 0.0000 0.0000
0.0000 0.0000 0.2480
0.0000 0.0000 0.5000
0.0000 0.0000 0.7520
0.5000 0.5000 0.0000
0.5000 0.5000 0.2489
0.5000 0.5000 0.5000
0.5000 0.5000 0.7511
0.5000 0.0000 0.1241
0.5000 0.0000 0.3742
0.5000 0.0000 0.6258
0.5000 0.0000 0.8759
0.0000 0.5000 0.1241
0.0000 0.5000 0.3742
0.0000 0.5000 0.6258
0.0000 0.5000 0.8759